A relaxed As2WBr crystal. Source: Alexandria via LeMat-Bulk, functional PBE.

Lattice parameters (Å, degrees): 3.3168 4.2098 7.3046 90.00 91.00 90.00
Space group Pm (No. 6)
Symmetry-distinct sites (fractional):
As 0.0000 0.0000 0.0000 (multiplicity 1)
As 0.4983 0.5000 0.9314 (multiplicity 1)
W 0.0091 0.5000 0.2001 (multiplicity 1)
Br 0.0155 0.0000 0.4372 (multiplicity 1)

total energy	-5.570	eV/atom
crystal system	monoclinic
formation energy from raw total energies	0.411	eV per atom
distance to the lowest polymorph of the same formula	328	meV/atom